(1)
# RbHg3Br

Crystalline RbHg3Br at its relaxed geometry (PBE-GGA, Alexandria via LeMat-Bulk).

Cell and atoms, written as POSCAR:
```
RbHg3Br
1.0
-2.882 4.275 -4.227
3.475 -2.640 -5.040
-4.906 -4.381 -1.087
Hg Rb Br
3 1 1
Direct
0.000 0.000 0.500 Hg
0.000 0.500 0.000 Hg
0.500 0.000 0.000 Hg
0.500 0.500 0.500 Rb
0.000 0.000 0.000 Br
```

Output
Energy relative to the elements, uncorrected: -0.23 eV/atom
Theoretical density: 4299 kg/m3
Energy above the lowest structure with this stoichiometry: 0.000 eV per atom

---

(2)
# VAs2CBr

Crystalline VAs2CBr at its relaxed geometry (PBE-GGA, Alexandria via LeMat-Bulk).

Cell and atoms, written as POSCAR:
```
VAs2CBr
1.0
4.721 0.000 0.000
0.000 4.721 0.000
0.000 0.000 5.050
As V Br C
2 1 1 1
Direct
0.500 0.000 0.000 As
0.000 0.500 0.000 As
0.000 0.000 0.000 V
0.000 0.000 0.500 Br
0.500 0.500 0.500 C
```

Output
Energy relative to the elements, uncorrected: 1.48 eV/atom
Theoretical density: 4318 kg/m3
Energy above the lowest structure with this stoichiometry: 0.286 eV per atom